[1]
First-principles (PBE) data for a geometry-optimized Cs8CdAu4 structure, as listed in Alexandria.

Its energy of formation is -0.20 eV per atom.

a = 10.5280 Å, b = 10.5247 Å, c = 10.7610 Å
α = 90.00°, β = 119.28°, γ = 120.01°
Element x y z (fractional)
Cs (0.9836, 0.7441, 0.2231)
Cs (0.4851, 0.7426, 0.2276)
Cs (0.5149, 0.2574, 0.7724)
Cs (0.9835, 0.2395, 0.2232)
Cs (0.4791, 0.2395, 0.2232)
Au (0.5000, 0.0000, 0.0000)
Cs (0.0164, 0.2559, 0.7769)
Cd (0.0000, 0.5000, 0.5000)
Au (0.0000, 0.5000, 0.0000)
Au (0.5000, 0.5000, 0.0000)
Au (0.0000, 0.0000, 0.0000)
Cs (0.5209, 0.7605, 0.7768)
Cs (0.0165, 0.7605, 0.7768)



[2]
First-principles (PBE) data for a geometry-optimized CsCdAu3 structure, as listed in Alexandria.

Its energy above the most stable polymorph in this dataset is 1306 meV/atom. Its energy of formation is 1.10 eV per atom.

a = 6.0815 Å, b = 6.0815 Å, c = 6.0815 Å
α = 90.00°, β = 90.00°, γ = 90.00°
Element x y z (fractional)
Cd (0.5000, 0.5000, 0.5000)
Au (0.0000, 0.5000, 0.0000)
Au (0.0000, 0.0000, 0.5000)
Au (0.5000, 0.0000, 0.0000)
Cs (0.0000, 0.0000, 0.0000)



[3]
First-principles (PBE) data for a geometry-optimized CsCd2Au2 structure, as listed in Alexandria.

Its energy above the most stable polymorph in this dataset is 0 meV/atom. Its energy of formation is -0.21 eV per atom.

a = 4.9475 Å, b = 4.9475 Å, c = 6.8736 Å
α = 68.91°, β = 68.91°, γ = 90.00°
Element x y z (fractional)
Au (0.6200, 0.6200, 0.7600)
Cd (0.7500, 0.2500, 0.5000)
Cs (0.0000, 0.0000, 0.0000)
Cd (0.2500, 0.7500, 0.5000)
Au (0.3800, 0.3800, 0.2400)



[4]
First-principles (PBE) data for a geometry-optimized Cs5Cd4Au structure, as listed in Alexandria.

Its energy of formation is -0.09 eV per atom.

a = 5.0196 Å, b = 9.7543 Å, c = 12.2356 Å
α = 110.74°, β = 101.84°, γ = 90.00°
Element x y z (fractional)
Cs (0.1968, 0.7912, 0.3936)
Cd (0.9659, 0.1230, 0.9319)
Cs (0.1355, 0.2696, 0.2710)
Cd (0.6107, 0.9406, 0.2215)
Cs (0.8645, 0.7304, 0.7290)
Au (0.5000, 0.0000, 0.0000)
Cs (0.8032, 0.2088, 0.6064)
Cd (0.3893, 0.0594, 0.7785)
Cd (0.0341, 0.8770, 0.0681)
Cs (0.5000, 0.5000, 0.0000)



[5]
First-principles (PBE) data for a geometry-optimized CsCd2Au2 structure, as listed in Alexandria.

Its energy above the most stable polymorph in this dataset is 18 meV/atom. Its energy of formation is -0.19 eV per atom.

a = 7.3923 Å, b = 7.3923 Å, c = 7.8356 Å
α = 104.78°, β = 104.78°, γ = 117.34°
Element x y z (fractional)
Au (0.0636, 0.9364, 0.5000)
Au (0.4364, 0.5636, 0.5000)
Cs (0.5000, 0.5000, 0.0000)
Cd (0.3666, 0.8666, 0.7332)
Cd (0.8834, 0.8834, 0.7668)
Cd (0.1334, 0.6334, 0.2668)
Cd (0.1166, 0.1166, 0.2332)
Au (0.8136, 0.1864, 0.0000)
Cs (0.7500, 0.2500, 0.5000)
Au (0.1864, 0.8136, 0.0000)



[6]
First-principles (PBE) data for a geometry-optimized Cs3Cd4Au3 structure, as listed in Alexandria.

Its energy of formation is -0.12 eV per atom.

a = 9.8913 Å, b = 9.8913 Å, c = 9.8913 Å
α = 109.47°, β = 109.47°, γ = 109.47°
Element x y z (fractional)
Au (0.8750, 0.6250, 0.7500)
Au (0.6250, 0.8750, 0.2500)
Cd (0.5000, 0.8594, 0.5000)
Cd (0.0000, 0.0000, 0.3594)
Cs (0.3750, 0.1250, 0.7500)
Au (0.7500, 0.1250, 0.8750)
Cs (0.7500, 0.6250, 0.3750)
Cs (0.1250, 0.3750, 0.2500)
Cs (0.8750, 0.2500, 0.6250)
Au (0.2500, 0.3750, 0.6250)
Au (0.3750, 0.2500, 0.1250)
Cd (0.0000, 0.0000, 0.8594)
Cs (0.2500, 0.8750, 0.1250)
Cd (0.6406, 0.1406, 0.1406)
Cd (0.5000, 0.3594, 0.5000)
Cd (0.1406, 0.6406, 0.6406)
Au (0.1250, 0.7500, 0.3750)
Cs (0.6250, 0.7500, 0.8750)
Cd (0.8594, 0.5000, 0.0000)
Cd (0.3594, 0.5000, 0.0000)